# 1
ZnCu5 after structural relaxation. Source: Alexandria via LeMat-Bulk, functional PBE.

```
data_ZnCu5
_chemical_formula_sum 'Zn2 Cu10'
_symmetry_space_group_name_H-M 'C m m m'
_symmetry_Int_Tables_number 65
_symmetry_space_group_name_Hall '-C 2 2'
_cell_length_a 3.649
_cell_length_b 11.192
_cell_length_c 3.608
_cell_angle_alpha 90.00
_cell_angle_beta 90.00
_cell_angle_gamma 90.00
loop_
_atom_site_label
_atom_site_type_symbol
_atom_site_fract_x
_atom_site_fract_y
_atom_site_fract_z
Zn1 Zn 0.000 0.000 0.000
Cu1 Cu 0.000 0.169 0.500
Cu2 Cu 0.000 0.333 0.000
Cu3 Cu 0.000 0.500 0.500
```

Summary:
Formation energy from the elements = -0.039 eV/atom
Density = 8.6 Mg/m³
Calculated total energy = -43.97 eV for the cell shown
Total magnetic moment = 0.0 μB/cell

# 2
Zn5Cu6 after structural relaxation. Source: Alexandria via LeMat-Bulk, functional PBE.

```
data_Zn5Cu6
_chemical_formula_sum 'Zn10 Cu12'
_symmetry_space_group_name_H-M 'C 1 2/m 1'
_symmetry_Int_Tables_number 12
_cell_length_a 7.162
_cell_length_b 12.200
_cell_length_c 4.125
_cell_angle_alpha 90.00
_cell_angle_beta 124.75
_cell_angle_gamma 90.00
loop_
_symmetry_equiv_pos_as_xyz
'x,y,z'
'-x,-y,-z'
'-x,y,-z'
'x,-y,z'
'x+1/2,y+1/2,z'
'-x+1/2,-y+1/2,-z'
'-x+1/2,y+1/2,-z'
'x+1/2,-y+1/2,z'
loop_
_atom_site_label
_atom_site_type_symbol
_atom_site_fract_x
_atom_site_fract_y
_atom_site_fract_z
Zn1 Zn 0.000 0.000 0.000
Zn2 Zn 0.000 0.165 0.500
Zn3 Zn 0.000 0.313 0.000
Cu1 Cu 0.218 0.356 0.717
Cu2 Cu 0.219 0.500 0.221
```

Summary:
Formation energy from the elements = -0.011 eV/atom
Density = 7.9 Mg/m³
Calculated total energy = -62.13 eV for the cell shown
Total magnetic moment = 0.0 μB/cell

# 3
Zn2Cu after structural relaxation. Source: Alexandria via LeMat-Bulk, functional PBE.

```
data_Zn2Cu
_chemical_formula_sum 'Zn8 Cu4'
_symmetry_space_group_name_H-M 'I m m a'
_symmetry_Int_Tables_number 74
_symmetry_space_group_name_Hall '-I 2b 2'
_cell_length_a 2.634
_cell_length_b 3.930
_cell_length_c 17.348
_cell_angle_alpha 90.00
_cell_angle_beta 90.00
_cell_angle_gamma 90.00
loop_
_atom_site_label
_atom_site_type_symbol
_atom_site_fract_x
_atom_site_fract_y
_atom_site_fract_z
Zn1 Zn 0.000 0.250 0.043
Zn2 Zn 0.000 0.250 0.187
Cu1 Cu 0.000 0.250 0.604
```

Summary:
Formation energy from the elements = 0.036 eV/atom
Density = 7.2 Mg/m³
Calculated total energy = -26.14 eV for the cell shown
Total magnetic moment = 0.0 μB/cell

# 4
ZnCu2 after structural relaxation. Source: Alexandria via LeMat-Bulk, functional PBE.

```
data_ZnCu2
_chemical_formula_sum 'Zn4 Cu8'
_symmetry_space_group_name_H-M 'I 41/a m d'
_symmetry_Int_Tables_number 141
_cell_length_a 2.566
_cell_length_b 2.566
_cell_length_c 23.923
_cell_angle_alpha 90.00
_cell_angle_beta 90.00
_cell_angle_gamma 90.00
loop_
_symmetry_equiv_pos_as_xyz
'x,y,z'
'-x,-y,-z'
'-y+1/4,x+3/4,z+1/4'
'y+1/4,-x+3/4,-z+1/4'
'-x+1/2,-y,z+1/2'
'x+1/2,y,-z+1/2'
'y+1/4,-x+1/4,z+3/4'
'-y+1/4,x+1/4,-z+3/4'
'x,-y,-z'
'-x,y,z'
'-y+1/4,-x+1/4,-z+3/4'
'y+1/4,x+1/4,z+3/4'
'-x+1/2,y,-z+1/2'
'x+1/2,-y,z+1/2'
'y+1/4,x+3/4,-z+1/4'
'-y+1/4,-x+3/4,z+1/4'
'x+1/2,y+1/2,z+1/2'
'-x+1/2,-y+1/2,-z+1/2'
'-y+3/4,x+1/4,z+3/4'
'y+3/4,-x+1/4,-z+3/4'
'-x,-y+1/2,z'
'x,y+1/2,-z'
'y+3/4,-x+3/4,z+1/4'
'-y+3/4,x+3/4,-z+1/4'
'x+1/2,-y+1/2,-z+1/2'
'-x+1/2,y+1/2,z+1/2'
'-y+3/4,-x+3/4,-z+1/4'
'y+3/4,x+3/4,z+1/4'
'-x,y+1/2,-z'
'x,-y+1/2,z'
'y+3/4,x+1/4,-z+3/4'
'-y+3/4,-x+1/4,z+3/4'
loop_
_atom_site_label
_atom_site_type_symbol
_atom_site_fract_x
_atom_site_fract_y
_atom_site_fract_z
Zn1 Zn 0.000 0.250 0.375
Cu1 Cu 0.000 0.250 0.795
```

Summary:
Formation energy from the elements = 0.053 eV/atom
Density = 8.1 Mg/m³
Calculated total energy = -37.23 eV for the cell shown
Total magnetic moment = 0.0 μB/cell

# 5
Zn2Cu after structural relaxation. Source: Alexandria via LeMat-Bulk, functional PBE.

```
data_Zn2Cu
_chemical_formula_sum 'Zn8 Cu4'
_symmetry_space_group_name_H-M 'C 1 m 1'
_symmetry_Int_Tables_number 8
_cell_length_a 9.762
_cell_length_b 2.695
_cell_length_c 6.375
_cell_angle_alpha 90.00
_cell_angle_beta 103.07
_cell_angle_gamma 90.00
loop_
_symmetry_equiv_pos_as_xyz
'x,y,z'
'x,-y,z'
'x+1/2,y+1/2,z'
'x+1/2,-y+1/2,z'
loop_
_atom_site_label
_atom_site_type_symbol
_atom_site_fract_x
_atom_site_fract_y
_atom_site_fract_z
Zn1 Zn 0.000 0.000 0.000
Zn2 Zn 0.056 0.000 0.603
Zn3 Zn 0.224 0.500 0.939
Zn4 Zn 0.383 0.000 0.286
Cu1 Cu 0.164 0.500 0.328
Cu2 Cu 0.332 0.000 0.663
```

Summary:
Formation energy from the elements = -0.059 eV/atom
Density = 7.9 Mg/m³
Calculated total energy = -27.29 eV for the cell shown
Total magnetic moment = 0.0 μB/cell

# 6
ZnCu3 after structural relaxation. Source: Alexandria via LeMat-Bulk, functional PBE.

```
data_ZnCu3
_chemical_formula_sum 'Zn2 Cu6'
_symmetry_space_group_name_H-M 'C m m m'
_symmetry_Int_Tables_number 65
_symmetry_space_group_name_Hall '-C 2 2'
_cell_length_a 5.202
_cell_length_b 7.189
_cell_length_c 2.667
_cell_angle_alpha 90.00
_cell_angle_beta 90.00
_cell_angle_gamma 90.00
loop_
_atom_site_label
_atom_site_type_symbol
_atom_site_fract_x
_atom_site_fract_y
_atom_site_fract_z
Zn1 Zn 0.000 0.000 0.000
Cu1 Cu 0.000 0.500 0.000
Cu2 Cu 0.250 0.250 0.500
```

Summary:
Formation energy from the elements = -0.048 eV/atom
Density = 8.5 Mg/m³
Calculated total energy = -27.51 eV for the cell shown
Total magnetic moment = 0.0 μB/cell

# 7
Zn6Cu7 after structural relaxation. Source: Alexandria via LeMat-Bulk, functional PBE.

```
data_Zn6Cu7
_chemical_formula_sum 'Zn18 Cu21'
_symmetry_space_group_name_H-M 'R -3 m'
_symmetry_Int_Tables_number 166
_symmetry_space_group_name_Hall '-R 3 2"'
_cell_length_a 4.9704
_cell_length_b 4.9704
_cell_length_c 24.7670
_cell_angle_alpha 90.00
_cell_angle_beta 90.00
_cell_angle_gamma 120.00
loop_
_atom_site_label
_atom_site_type_symbol
_atom_site_fract_x
_atom_site_fract_y
_atom_site_fract_z
Zn1 Zn 0.0000 0.0000 0.0518
Zn2 Zn 0.0000 0.0000 0.1562
Zn3 Zn 0.0000 0.0000 0.3336
Cu1 Cu 0.0000 0.0000 0.5000
Cu2 Cu 0.0031 0.5015 0.9131
```

Summary:
Formation energy from the elements = -0.028 eV/atom
Density = 7.9 Mg/m³
Calculated total energy = -110.05 eV for the cell shown
Total magnetic moment = 0.0 μB/cell

# 8
Zn3Cu8 after structural relaxation. Source: Alexandria via LeMat-Bulk, functional PBE.

```
data_Zn3Cu8
_chemical_formula_sum 'Zn6 Cu16'
_symmetry_space_group_name_H-M 'C 1 2/m 1'
_symmetry_Int_Tables_number 12
_cell_length_a 8.214
_cell_length_b 3.654
_cell_length_c 9.526
_cell_angle_alpha 90.00
_cell_angle_beta 105.76
_cell_angle_gamma 90.00
loop_
_symmetry_equiv_pos_as_xyz
'x,y,z'
'-x,-y,-z'
'-x,y,-z'
'x,-y,z'
'x+1/2,y+1/2,z'
'-x+1/2,-y+1/2,-z'
'-x+1/2,y+1/2,-z'
'x+1/2,-y+1/2,z'
loop_
_atom_site_label
_atom_site_type_symbol
_atom_site_fract_x
_atom_site_fract_y
_atom_site_fract_z
Zn1 Zn 0.000 0.000 0.000
Zn2 Zn 0.094 0.000 0.639
Cu1 Cu 0.045 0.500 0.818
Cu2 Cu 0.137 0.500 0.453
Cu3 Cu 0.182 0.000 0.271
Cu4 Cu 0.227 0.500 0.089
```

Summary:
Formation energy from the elements = -0.063 eV/atom
Density = 8.5 Mg/m³
Calculated total energy = -74.58 eV for the cell shown
Total magnetic moment = 0.0 μB/cell

> Look up the calculated total energy of the eighth one.

-74.58 eV for the cell shown